No. 1
DFT (PBE) results for Re3O after structural relaxation.

Unit cell a=4.8318 b=4.8318 c=4.8318 alpha=135.57 beta=135.57 gamma=64.65
With the nearest neighbours (Å) after each atom.
Fractional coordinates of all 4 atoms:
Re (0.7500, 0.2500, 0.5000)  8 Re 2.58-2.74, 4 O 2.74
Re (0.5000, 0.5000, 0.0000)  4 O 2.58, 8 Re 2.74
O (0.0000, 0.0000, 0.0000)  12 Re 2.58-2.74
Re (0.2500, 0.7500, 0.5000)  8 Re 2.58-2.74, 4 O 2.74

Calculated values
calculated density	17.50	Mg/m³
total DFT energy (no corrections)	-9.615	eV/atom

No. 2
DFT (PBE) results for HoCo2As after structural relaxation.

Unit cell a=3.7369 b=7.0619 c=4.9038 alpha=90.00 beta=90.00 gamma=90.00
With the nearest neighbours (Å) after each atom.
Fractional coordinates of all 8 atoms:
Ho (0.5000, 0.6919, 0.2422)  6 Co 2.48-2.62
Co (0.5000, 0.9976, 0.5039)  2 Co 2.45, 2 Ho 2.48-2.51, 4 As 2.57-2.60
Co (0.0000, 0.4955, 0.0024)  2 Co 2.45, 2 As 2.51-2.57, 4 Ho 2.61-2.62
Co (0.0000, 0.5045, 0.5024)  2 Co 2.45, 2 As 2.51-2.57, 4 Ho 2.61-2.62
Co (0.5000, 0.0024, 0.0039)  2 Co 2.45, 2 Ho 2.48-2.51, 4 As 2.57-2.60
As (0.0000, 0.1845, 0.2515)  6 Co 2.51-2.60
As (0.0000, 0.8155, 0.7515)  6 Co 2.51-2.60
Ho (0.5000, 0.3081, 0.7422)  6 Co 2.48-2.62

Calculated values
energy above the lowest structure with this stoichiometry	345	meV per atom
calculated density	9.18	Mg/m³

- Among the records above, which one has the highest calculated density?
  Re3O

- What is the calculated density in the first record?
  17.50 Mg/m³